{
  "formula": "TbSnPb2Se5",
  "functional": "PBE",
  "state": "optimized geometry",
  "lattice_angstrom": [[4.2480, 0.0000, 0.0000], [-2.1240, 9.1999, 0.0000], [0.0000, 0.0000, 13.4697]],
  "species": ["Tb", "Tb", "Sn", "Sn", "Pb", "Pb", "Pb", "Pb", "Se", "Se", "Se", "Se", "Se", "Se", "Se", "Se", "Se", "Se"],
  "fractional_positions": [[0.7875, 0.5751, 0.5203], [0.2125, 0.4249, 0.0203], [0.5424, 0.0849, 0.9468], [0.4576, 0.9151, 0.4468], [0.8699, 0.7398, 0.7974], [0.1216, 0.2432, 0.6636], [0.1301, 0.2602, 0.2974], [0.8784, 0.7568, 0.1636], [0.3669, 0.7339, 0.0114], [0.6832, 0.3665, 0.8785], [0.4832, 0.9664, 0.7642], [0.2812, 0.5623, 0.6675], [0.9456, 0.8912, 0.5741], [0.6331, 0.2661, 0.5114], [0.3168, 0.6335, 0.3785], [0.5168, 0.0336, 0.2642], [0.7188, 0.4377, 0.1675], [0.0544, 0.1088, 0.0741]],
  "mass_density_g_cm3": 6.86,
  "total_magnetization_mub_per_atom": 0.00,
  "e_form_raw_ev_per_fu": -7.28
}

{
  "formula": "TlCd3Pb3",
  "functional": "PBE",
  "state": "optimized geometry",
  "lattice_angstrom": [[-3.5754, 6.8452, 2.8815], [-2.3407, -4.0736, 6.7728], [7.0485, 2.1195, 3.7108]],
  "species": ["Pb", "Pb", "Pb", "Pb", "Pb", "Pb", "Tl", "Tl", "Cd", "Cd", "Cd", "Cd", "Cd", "Cd"],
  "fractional_positions": [[0.0000, 0.2500, 0.5000], [0.0000, 0.7500, 0.5000], [0.5000, 0.0000, 0.7500], [0.7500, 0.5000, 0.0000], [0.5000, 0.0000, 0.2500], [0.2500, 0.5000, 0.0000], [0.5000, 0.5000, 0.5000], [0.0000, 0.0000, 0.0000], [0.2500, 0.0000, 0.5000], [0.0000, 0.5000, 0.2500], [0.5000, 0.7500, 0.0000], [0.7500, 0.0000, 0.5000], [0.0000, 0.5000, 0.7500], [0.5000, 0.2500, 0.0000]],
  "e_form_ev_per_atom": 0.36,
  "mass_density_g_cm3": 6.90,
  "total_magnetization_mub_per_atom": 0.00
}

{
  "formula": "KBeNi2",
  "functional": "PBE",
  "state": "optimized geometry",
  "lattice_angstrom": [[3.9131, -0.1532, 0.0556], [2.0913, 3.3109, 0.0556], [1.8575, 0.9769, 5.8664]],
  "species": ["Ni", "Ni", "K", "Be"],
  "fractional_positions": [[0.0713, 0.0713, 0.7863], [0.7549, 0.7549, 0.7344], [0.2497, 0.2497, 0.2527], [0.4241, 0.4241, 0.7266]],
  "e_form_ev_per_atom": 0.19,
  "mass_density_g_cm3": 3.55,
  "total_magnetization_mub_per_atom": 0.07
}

{
  "formula": "ZrNClF2",
  "functional": "PBE",
  "state": "optimized geometry",
  "lattice_angstrom": [[-1.7545, -1.0990, -3.7155], [3.8549, -0.9068, -1.5521], [-0.3687, -3.7775, 1.2914]],
  "species": ["N", "F", "F", "Zr", "Cl"],
  "fractional_positions": [[0.0000, 0.0000, 0.5000], [0.0000, 0.5000, 0.0000], [0.5000, 0.0000, 0.0000], [0.5000, 0.5000, 0.5000], [0.0000, 0.0000, 0.0000]],
  "mass_density_g_cm3": 4.09,
  "total_magnetization_mub_per_atom": 0.18,
  "e_form_raw_ev_per_fu": 1.89,
  "de_polymorph_ev_per_atom": 1.9537
}

{
  "formula": "VSi2Ru3",
  "functional": "PBE",
  "state": "optimized geometry",
  "lattice_angstrom": [[2.9395, 0.0000, 0.0000], [0.0000, 2.9395, 0.0000], [0.0000, 0.0000, 9.0149]],
  "species": ["V", "Si", "Si", "Ru", "Ru", "Ru"],
  "fractional_positions": [[0.5000, 0.5000, 0.5000], [0.5000, 0.5000, 0.8353], [0.5000, 0.5000, 0.1647], [0.0000, 0.0000, 0.0000], [0.0000, 0.0000, 0.6776], [0.0000, 0.0000, 0.3224]],
  "mass_density_g_cm3": 8.75,
  "total_magnetization_mub_per_atom": 0.06,
  "e_form_raw_ev_per_fu": -3.31
}

{
  "formula": "Ru5Rh4",
  "functional": "PBE",
  "state": "optimized geometry",
  "lattice_angstrom": [[-1.8553, 7.8117, 1.3009], [-5.8927, -0.4692, -5.5868], [-5.1169, 3.1505, -0.7883]],
  "species": ["Rh", "Rh", "Rh", "Rh", "Ru", "Ru", "Ru", "Ru", "Ru"],
  "fractional_positions": [[0.0000, 0.3285, 0.0000], [0.0000, 0.6715, 0.0000], [0.3285, 0.0000, 0.0000], [0.6715, 0.0000, 0.0000], [0.0000, 0.0000, 0.0000], [0.3357, 0.3357, 0.0000], [0.3357, 0.6643, 0.0000], [0.6643, 0.3357, 0.0000], [0.6643, 0.6643, 0.0000]],
  "e_form_ev_per_atom": 0.05,
  "mass_density_g_cm3": 12.05,
  "total_magnetization_mub_per_atom": 0.00,
  "de_polymorph_ev_per_atom": 0.0000
}

{
  "formula": "Zr2TaMo",
  "functional": "PBE",
  "state": "optimized geometry",
  "lattice_angstrom": [[-0.7929, 5.3775, -1.7375], [-2.0934, 3.9521, 3.5444], [4.0537, -4.0156, -0.0855]],
  "species": ["Mo", "Ta", "Zr", "Zr"],
  "fractional_positions": [[0.2500, 0.7500, 0.5000], [0.7500, 0.2500, 0.5000], [0.0000, 0.0000, 0.0000], [0.5000, 0.5000, 0.0000]],
  "e_form_ev_per_atom": 0.22,
  "mass_density_g_cm3": 9.71,
  "total_magnetization_mub_per_atom": 0.00,
  "de_polymorph_ev_per_atom": 0.2345
}

{
  "formula": "SmHo2TmBi4",
  "functional": "PBE",
  "state": "optimized geometry",
  "lattice_angstrom": [[4.4822, 0.0000, 0.0000], [0.0000, 7.7568, -0.1528], [0.0000, 2.7298, 7.2599]],
  "species": ["Sm", "Ho", "Ho", "Tm", "Bi", "Bi", "Bi", "Bi"],
  "fractional_positions": [[0.5000, 0.5000, 0.0000], [0.0000, 0.0000, 0.0000], [0.5000, 0.0000, 0.5000], [0.0000, 0.5000, 0.5000], [0.0000, 0.7537, 0.7448], [0.0000, 0.2463, 0.2552], [0.5000, 0.7508, 0.2537], [0.5000, 0.2492, 0.7463]],
  "e_form_ev_per_atom": -0.84,
  "mass_density_g_cm3": 9.70,
  "total_magnetization_mub_per_atom": 0.00
}

{
  "formula": "HoSc2Ag4",
  "functional": "PBE",
  "state": "optimized geometry",
  "lattice_angstrom": [[5.6689, 0.2059, -1.8692], [-2.7661, 4.8011, -2.2296], [0.1186, -0.2059, 5.9679]],
  "species": ["Ho", "Sc", "Sc", "Ag", "Ag", "Ag", "Ag"],
  "fractional_positions": [[0.0000, 0.0000, 0.0000], [0.5000, 0.5000, 0.0000], [0.5000, 0.0000, 0.5000], [0.5000, 0.0000, 0.0000], [0.5000, 0.5000, 0.5000], [0.0000, 0.0000, 0.5000], [0.0000, 0.5000, 0.0000]],
  "e_form_ev_per_atom": -0.06,
  "mass_density_g_cm3": 6.98,
  "total_magnetization_mub_per_atom": 0.00
}

{
  "formula": "YHo3Ru",
  "functional": "PBE",
  "state": "optimized geometry",
  "lattice_angstrom": [[-3.5655, -2.1981, 3.3515], [1.6486, -4.8930, -1.4552], [3.6533, 0.0628, 3.9277]],
  "species": ["Y", "Ru", "Ho", "Ho", "Ho"],
  "fractional_positions": [[0.5000, 0.5000, 0.5000], [0.0000, 0.0000, 0.0000], [0.0000, 0.5000, 0.0000], [0.0000, 0.0000, 0.5000], [0.5000, 0.0000, 0.0000]],
  "e_form_ev_per_atom": -0.07,
  "mass_density_g_cm3": 7.37,
  "total_magnetization_mub_per_atom": 0.00,
  "de_polymorph_ev_per_atom": 0.0742
}

{
  "formula": "RbCa2RuCl",
  "functional": "PBE",
  "state": "optimized geometry",
  "lattice_angstrom": [[5.5899, 0.0000, 0.0000], [0.0000, 4.7039, 0.0000], [0.0000, 0.0000, 5.5899]],
  "species": ["Ru", "Ca", "Ca", "Rb", "Cl"],
  "fractional_positions": [[0.0000, 0.5000, 0.0000], [0.0000, 0.0000, 0.5000], [0.5000, 0.0000, 0.0000], [0.5000, 0.5000, 0.5000], [0.0000, 0.0000, 0.0000]],
  "mass_density_g_cm3": 3.41,
  "total_magnetization_mub_per_atom": 0.00,
  "e_form_raw_ev_per_fu": 0.93
}